VASP calculation (PBE) on crystalline CsCuMoSeS2 at its relaxed geometry.

Geometry as CIF:
```
data_CsCuMoSeS2
_chemical_formula_sum 'Cs4 Cu4 Mo4 Se4 S8'
_cell_length_a 3.780
_cell_length_b 15.940
_cell_length_c 9.767
_cell_angle_alpha 90.00
_cell_angle_beta 90.00
_cell_angle_gamma 90.00
_space_group_name_H-M_alt 'C m c m'
_space_group_IT_number 63
_space_group_name_Hall '-C 2c 2'
loop_
_atom_site_label
_atom_site_fract_x
_atom_site_fract_y
_atom_site_fract_z
_atom_site_occupancy
Cs1 0.000 0.238 0.250 1
Cu1 0.000 0.472 0.750 1
Mo1 0.000 0.000 0.000 1
Se1 0.000 0.068 0.750 1
S1 0.000 0.401 0.550 1
```

Values from the calculation:
Theoretical density, g/cm³: 4.9
E_tot, eV/atom: -5.105


VASP calculation (PBE) on crystalline Hf4CdSN2 at its relaxed geometry.

Geometry as CIF:
```
data_Hf4CdSN2
_chemical_formula_sum 'Hf4 Cd1 S1 N2'
_cell_length_a 3.2838
_cell_length_b 3.2838
_cell_length_c 13.3125
_cell_angle_alpha 90.00
_cell_angle_beta 90.00
_cell_angle_gamma 120.00
_space_group_name_H-M_alt 'P -6 m 2'
_space_group_IT_number 187
_space_group_name_Hall 'P -6 2'
loop_
_atom_site_label
_atom_site_fract_x
_atom_site_fract_y
_atom_site_fract_z
_atom_site_occupancy
Hf1 0.0000 0.0000 0.1351 1
Hf2 0.6667 0.3333 0.3173 1
Cd1 0.0000 0.0000 0.5000 1
S1 0.6667 0.3333 0.0000 1
N1 0.3333 0.6667 0.2308 1
```

Values from the calculation:
Theoretical density, g/cm³: 11.8
E_tot, eV/atom: -8.937


VASP calculation (PBE) on crystalline BaBiPtAu at its relaxed geometry.

Geometry as CIF:
```
data_BaBiPtAu
_chemical_formula_sum 'Ba4 Bi4 Pt4 Au4'
_cell_length_a 7.493
_cell_length_b 7.493
_cell_length_c 7.493
_cell_angle_alpha 90.00
_cell_angle_beta 90.00
_cell_angle_gamma 90.00
_space_group_name_H-M_alt 'F -4 3 m'
_space_group_IT_number 216
_space_group_name_Hall 'F -4 2 3'
loop_
_atom_site_label
_atom_site_fract_x
_atom_site_fract_y
_atom_site_fract_z
_atom_site_occupancy
Ba1 0.000 0.000 0.000 1
Bi1 0.000 0.000 0.500 1
Pt1 0.250 0.250 0.250 1
Au1 0.250 0.250 0.750 1
```

Values from the calculation:
Theoretical density, g/cm³: 11.7
Offset from the most stable computed form, meV per atom: 0